a:
{
  "formula": "In2FeRe",
  "functional": "PBE-GGA",
  "state": "optimized geometry",
  "lattice": [[-1.1927, 5.2157, -7.5755], [-1.4718, 2.4753, -8.8160], [-3.8613, 3.8005, -7.5273]],
  "species": ["In", "In", "Re", "Fe"],
  "fractional_positions": [[0.2435, 0.2435, 0.2435], [0.0093, 0.0093, 0.0093], [0.4895, 0.4895, 0.4895], [0.7577, 0.7577, 0.7577]],
  "n_ef_per_ev_atom": 0.922,
  "volume_a3_per_cell": 72.00,
  "sg": "R3m",
  "crystal_system": "trigonal"
}

=====

b:
{
  "formula": "In2FeRe",
  "functional": "PBE-GGA",
  "state": "optimized geometry",
  "lattice": [[3.4760, -0.4299, 2.9621], [1.1395, 3.5103, 2.7241], [-0.8393, -0.2257, 4.5040]],
  "species": ["In", "In", "Fe", "Re"],
  "fractional_positions": [[0.7500, 0.7500, 0.7500], [0.2500, 0.2500, 0.2500], [0.0000, 0.0000, 0.0000], [0.5000, 0.5000, 0.5000]],
  "n_ef_per_ev_atom": 1.104,
  "volume_a3_per_cell": 68.25,
  "sg": "Fm-3m",
  "crystal_system": "cubic"
}

=====

Best to worst by energy: a, b.

=====

a:
{
  "formula": "In2FeRe2",
  "functional": "PBE-GGA",
  "state": "optimized geometry",
  "lattice": [[-3.4271, -2.1674, -5.0021], [0.1527, -5.9443, 2.4711], [-3.7359, 0.8203, 2.2042]],
  "species": ["Re", "Re", "Re", "Re", "In", "In", "In", "In", "Fe", "Fe"],
  "fractional_positions": [[0.8672, 0.6328, 0.0000], [0.6328, 0.1328, 0.0000], [0.1328, 0.3672, 0.0000], [0.3672, 0.8672, 0.0000], [0.3246, 0.1754, 0.5000], [0.8246, 0.3246, 0.5000], [0.1754, 0.6754, 0.5000], [0.6754, 0.8246, 0.5000], [0.0000, 0.0000, 0.0000], [0.5000, 0.5000, 0.0000]],
  "n_ef_per_ev_atom": 1.150,
  "volume_a3_per_cell": 183.05,
  "sg": "P4/mbm",
  "crystal_system": "tetragonal"
}

=====

b:
{
  "formula": "In2FeRe2",
  "functional": "PBE-GGA",
  "state": "optimized geometry",
  "lattice": [[-1.2399, 2.2434, 2.6655], [0.7771, -2.5799, 2.5329], [6.0690, 2.4462, 3.3293]],
  "species": ["Re", "Re", "In", "In", "Fe"],
  "fractional_positions": [[0.5848, 0.5848, 0.8305], [0.4152, 0.4152, 0.1695], [0.7500, 0.2500, 0.5000], [0.2500, 0.7500, 0.5000], [0.0000, 0.0000, 0.0000]],
  "n_ef_per_ev_atom": 2.202,
  "volume_a3_per_cell": 93.82,
  "sg": "I4/mmm",
  "crystal_system": "tetragonal"
}

=====

Best to worst by energy: a, b.

=====

a:
{
  "formula": "InFe3Re",
  "functional": "PBE-GGA",
  "state": "optimized geometry",
  "lattice": [[-0.9593, 4.4397, 0.0752], [-1.0682, -0.1560, -4.4127], [-4.3100, -0.9495, 1.0769]],
  "species": ["Fe", "Fe", "Fe", "Re", "In"],
  "fractional_positions": [[0.5000, 0.0000, 0.0000], [0.0000, 0.0000, 0.5000], [0.0000, 0.5000, 0.0000], [0.0000, 0.0000, 0.0000], [0.5000, 0.5000, 0.5000]],
  "n_ef_per_ev_atom": 1.473,
  "volume_a3_per_cell": 93.75,
  "sg": "Pm-3m",
  "crystal_system": "cubic"
}

=====

b:
{
  "formula": "InFe3Re",
  "functional": "PBE-GGA",
  "state": "optimized geometry",
  "lattice": [[-3.0816, 3.1931, -0.3338], [-2.2237, -1.7891, 3.4143], [2.3157, 2.5311, 2.8345]],
  "species": ["Fe", "Fe", "Fe", "Re", "In"],
  "fractional_positions": [[0.0000, 0.5000, 0.0000], [0.5000, 0.0000, 0.0000], [0.0000, 0.0000, 0.5000], [0.5000, 0.5000, 0.5000], [0.0000, 0.0000, 0.0000]],
  "n_ef_per_ev_atom": 3.047,
  "volume_a3_per_cell": 88.13,
  "sg": "Pm-3m",
  "crystal_system": "cubic"
}

=====

Best to worst by energy: a, b.

=====

a:
{
  "formula": "In2FeSnRh",
  "functional": "PBE-GGA",
  "state": "optimized geometry",
  "lattice": [[5.0800, 0.0000, 0.0000], [0.0000, 4.7726, 0.0000], [0.0000, 0.0000, 5.0800]],
  "species": ["In", "In", "Fe", "Sn", "Rh"],
  "fractional_positions": [[0.0000, 0.0000, 0.5000], [0.5000, 0.0000, 0.0000], [0.0000, 0.5000, 0.0000], [0.5000, 0.5000, 0.5000], [0.0000, 0.0000, 0.0000]],
  "n_ef_per_ev_atom": 0.834,
  "volume_a3_per_cell": 123.17,
  "sg": "P4/mmm",
  "crystal_system": "tetragonal"
}

=====

b:
{
  "formula": "In2FeSnRh",
  "functional": "PBE-GGA",
  "state": "optimized geometry",
  "lattice": [[-3.6571, -2.6169, -1.9219], [-1.0679, -1.7642, 4.4343], [-3.0097, 3.6669, 0.7341]],
  "species": ["In", "In", "Rh", "Fe", "Sn"],
  "fractional_positions": [[0.5000, 0.0000, 0.0000], [0.0000, 0.5000, 0.0000], [0.5000, 0.5000, 0.5000], [0.0000, 0.0000, 0.0000], [0.0000, 0.0000, 0.5000]],
  "n_ef_per_ev_atom": 1.089,
  "volume_a3_per_cell": 114.80,
  "sg": "P4/mmm",
  "crystal_system": "tetragonal"
}

=====

Best to worst by energy: a, b.

=====

a:
{
  "formula": "InFeTc2Rh",
  "functional": "PBE-GGA",
  "state": "optimized geometry",
  "lattice": [[-3.0892, 0.2666, 3.5091], [0.1366, -4.8822, 0.4912], [3.5168, 0.4068, 3.0651]],
  "species": ["Tc", "Tc", "In", "Fe", "Rh"],
  "fractional_positions": [[0.0000, 0.0000, 0.5000], [0.5000, 0.0000, 0.0000], [0.0000, 0.5000, 0.0000], [0.5000, 0.5000, 0.5000], [0.0000, 0.0000, 0.0000]],
  "n_ef_per_ev_atom": 1.476,
  "volume_a3_per_cell": 107.64,
  "sg": "P4/mmm",
  "crystal_system": "tetragonal"
}

=====

b:
{
  "formula": "InFeTc2Rh",
  "functional": "PBE-GGA",
  "state": "optimized geometry",
  "lattice": [[4.3863, 0.0000, 0.0000], [0.0000, 4.6043, 0.0000], [0.0000, 0.0000, 4.3863]],
  "species": ["Fe", "Rh", "Tc", "Tc", "In"],
  "fractional_positions": [[0.0000, 0.0000, 0.0000], [0.0000, 0.5000, 0.0000], [0.0000, 0.0000, 0.5000], [0.5000, 0.0000, 0.0000], [0.5000, 0.5000, 0.5000]],
  "n_ef_per_ev_atom": 1.373,
  "volume_a3_per_cell": 88.59,
  "sg": "P4/mmm",
  "crystal_system": "tetragonal"
}

=====

Best to worst by energy: b, a.

=====

a:
{
  "formula": "In2FeRu",
  "functional": "PBE-GGA",
  "state": "optimized geometry",
  "lattice": [[-4.0148, -2.7986, -2.0448], [-1.3667, -3.9244, -3.2960], [-0.4935, -3.8904, 2.4560]],
  "species": ["Fe", "In", "In", "Ru"],
  "fractional_positions": [[0.7737, 0.7737, 0.7601], [0.2325, 0.2325, 0.2970], [0.0153, 0.0153, 0.9576], [0.4784, 0.4784, 0.4853]],
  "n_ef_per_ev_atom": 0.816,
  "volume_a3_per_cell": 69.32,
  "sg": "Cm",
  "crystal_system": "monoclinic"
}

=====

b:
{
  "formula": "In2FeRu",
  "functional": "PBE-GGA",
  "state": "optimized geometry",
  "lattice": [[-8.6600, 1.1593, 1.3134], [-8.1560, -1.1865, 3.1838], [-7.6315, 1.6559, 4.1331]],
  "species": ["Fe", "In", "In", "Ru"],
  "fractional_positions": [[0.7500, 0.7500, 0.7500], [0.5003, 0.5003, 0.5003], [0.9997, 0.9997, 0.9997], [0.2500, 0.2500, 0.2500]],
  "n_ef_per_ev_atom": 0.843,
  "volume_a3_per_cell": 69.41,
  "sg": "R-3m",
  "crystal_system": "trigonal"
}

=====

Best to worst by energy: a, b.